a | {
  "formula": "CaTl2Br",
  "functional": "GGA-PBE",
  "state": "relaxed",
  "cell": [[8.235, -0.028, 0.039], [7.421, 3.569, 0.039], [1.246, 0.282, 4.389]],
  "species": ["Ca", "Tl", "Tl", "Br"],
  "fractional_positions": [[0.250, 0.250, 0.250], [0.555, 0.555, 0.445], [0.945, 0.945, 0.055], [0.750, 0.750, 0.750]]
}

b | {
  "formula": "CaTl2Br",
  "functional": "GGA-PBE",
  "state": "relaxed",
  "cell": [[-6.008, -0.331, -2.567], [-4.642, -1.877, 4.209], [4.522, 4.491, -1.474]],
  "species": ["Ca", "Tl", "Br", "Tl"],
  "fractional_positions": [[0.273, 0.773, 0.500], [0.016, 0.016, 0.000], [0.467, 0.467, 0.000], [0.744, 0.244, 0.500]]
}

Most favorable structure: a. The second most favorable one is 36 meV/atom above it.

a | {
  "formula": "CaTl2Br",
  "functional": "GGA-PBE",
  "state": "relaxed",
  "cell": [[-4.978, -3.171, 0.752], [4.916, -3.290, 0.640], [0.052, 0.799, 3.712]],
  "species": ["Tl", "Br", "Ca", "Tl"],
  "fractional_positions": [[0.500, 0.500, 0.000], [0.500, 0.000, 0.500], [0.000, 0.500, 0.500], [0.000, 0.000, 0.000]]
}

b | {
  "formula": "CaTl2Br",
  "functional": "GGA-PBE",
  "state": "relaxed",
  "cell": [[-6.062, 3.776, -5.949], [-6.762, -0.913, 6.311], [-5.746, 4.272, 1.305]],
  "species": ["Tl", "Ca", "Ca", "Tl", "Br", "Tl", "Br", "Tl"],
  "fractional_positions": [[0.375, 0.370, 0.750], [0.500, 0.500, 0.000], [0.250, 0.750, 0.500], [0.630, 0.125, 0.250], [0.750, 0.250, 0.500], [0.875, 0.880, 0.750], [0.000, 0.000, 0.000], [0.120, 0.625, 0.250]]
}

Most favorable structure: a. The second most favorable one is 80 meV/atom above it.

a | {
  "formula": "CaTl2Br",
  "functional": "GGA-PBE",
  "state": "relaxed",
  "cell": [[-0.893, 5.179, 2.683], [-4.500, 2.548, -2.842], [0.409, -5.414, 2.310]],
  "species": ["Tl", "Tl", "Br", "Ca"],
  "fractional_positions": [[0.000, 0.000, 0.000], [0.250, 0.750, 0.500], [0.500, 0.500, 0.000], [0.750, 0.250, 0.500]]
}

b | {
  "formula": "CaTl2Br",
  "functional": "GGA-PBE",
  "state": "relaxed",
  "cell": [[4.822, -0.607, -2.909], [3.732, -3.986, 1.504], [0.769, -4.545, -3.291]],
  "species": ["Ca", "Tl", "Tl", "Br"],
  "fractional_positions": [[0.000, 0.000, 0.000], [0.250, 0.250, 0.250], [0.750, 0.750, 0.750], [0.500, 0.500, 0.500]]
}

c | {
  "formula": "CaTl2Br",
  "functional": "GGA-PBE",
  "state": "relaxed",
  "cell": [[-5.288, -1.743, 4.168], [0.954, -1.776, -6.656], [-0.533, -4.476, -0.294]],
  "species": ["Br", "Ca", "Tl", "Tl"],
  "fractional_positions": [[0.500, 0.000, 0.500], [0.000, 0.500, 0.500], [0.000, 0.000, 0.000], [0.500, 0.500, 0.000]]
}

Most favorable structure: c. The second most favorable one is 97 meV/atom above it.

a | {
  "formula": "CaTl2Br",
  "functional": "GGA-PBE",
  "state": "relaxed",
  "cell": [[-1.501, 3.478, 0.378], [-4.681, -1.977, -0.399], [-0.208, -0.769, 6.244]],
  "species": ["Tl", "Br", "Ca", "Tl"],
  "fractional_positions": [[0.000, 0.000, 0.000], [0.500, 0.000, 0.500], [0.000, 0.500, 0.500], [0.500, 0.500, 0.000]]
}

b | {
  "formula": "CaTl2Br",
  "functional": "GGA-PBE",
  "state": "relaxed",
  "cell": [[3.592, 0.012, 0.000], [-0.015, 3.592, 0.000], [0.000, 0.000, 9.938]],
  "species": ["Br", "Tl", "Tl", "Ca"],
  "fractional_positions": [[0.000, 0.000, 0.572], [0.000, 0.000, 0.974], [0.500, 0.500, 0.218], [0.500, 0.500, 0.735]]
}

Most favorable structure: b. The second most favorable one is 125 meV/atom above it.

a | {
  "formula": "CaTl2Br4",
  "functional": "GGA-PBE",
  "state": "relaxed",
  "cell": [[-0.898, 1.472, -4.042], [-8.735, -1.313, 1.463], [5.361, 6.049, 3.401]],
  "species": ["Tl", "Br", "Br", "Tl", "Br", "Br", "Ca"],
  "fractional_positions": [[0.682, 0.697, 0.364], [0.905, 0.176, 0.810], [0.358, 0.743, 0.716], [0.318, 0.303, 0.636], [0.642, 0.257, 0.284], [0.095, 0.824, 0.190], [0.000, 0.000, 0.000]]
}

b | {
  "formula": "CaTl2Br4",
  "functional": "GGA-PBE",
  "state": "relaxed",
  "cell": [[5.678, 0.000, 0.000], [0.000, 5.678, 0.000], [2.839, 2.839, 8.302]],
  "species": ["Br", "Tl", "Tl", "Br", "Br", "Ca", "Br"],
  "fractional_positions": [[0.500, 0.000, 0.000], [0.360, 0.360, 0.281], [0.640, 0.640, 0.719], [0.000, 0.500, 0.000], [0.173, 0.173, 0.655], [0.000, 0.000, 0.000], [0.827, 0.827, 0.345]]
}

Most favorable structure: a. The second most favorable one is 27 meV/atom above it.

a | {
  "formula": "CaTl3Br",
  "functional": "GGA-PBE",
  "state": "relaxed",
  "cell": [[5.978, 0.000, 0.000], [0.000, 5.978, 0.000], [0.000, 0.000, 5.978]],
  "species": ["Ca", "Tl", "Br", "Tl", "Tl"],
  "fractional_positions": [[0.500, 0.500, 0.500], [0.000, 0.000, 0.500], [0.000, 0.000, 0.000], [0.000, 0.500, 0.000], [0.500, 0.000, 0.000]]
}

b | {
  "formula": "CaTl3Br",
  "functional": "GGA-PBE",
  "state": "relaxed",
  "cell": [[6.140, 0.000, 0.000], [0.000, 6.140, 0.000], [0.000, 0.000, 6.140]],
  "species": ["Tl", "Br", "Tl", "Tl", "Ca"],
  "fractional_positions": [[0.000, 0.000, 0.500], [0.500, 0.500, 0.500], [0.500, 0.000, 0.000], [0.000, 0.500, 0.000], [0.000, 0.000, 0.000]]
}

Most favorable structure: a. The second most favorable one is 235 meV/atom above it.